No. 1
PBE YBe2H, optimized geometry; energy relative to the lowest polymorph listed for this composition = 0 meV per atom; crystal system = cubic; VASP energy = -4.0648 eV/atom
1.0
0.000 3.668 3.668
3.668 0.000 3.668
3.668 3.668 0.000
Y Be H
2 4 2
direct
0.125 0.125 0.125 Y
0.875 0.875 0.875 Y
0.000 0.500 0.500 Be
0.500 0.000 0.500 Be
0.500 0.500 0.000 Be
0.500 0.500 0.500 Be
0.375 0.375 0.375 H
0.625 0.625 0.625 H

=====

No. 2
PBE LiLa2Sm, optimized geometry; energy relative to the lowest polymorph listed for this composition = 92 meV per atom; crystal system = cubic; formation enthalpy at 0 K = 59 kJ/mol of formula units; VASP energy = -3.9685 eV/atom
1.0
0.000 4.037 4.037
4.037 0.000 4.037
4.037 4.037 0.000
Li La Sm
1 2 1
direct
0.000 0.000 0.000 Li
0.250 0.250 0.250 La
0.750 0.750 0.750 La
0.500 0.500 0.500 Sm

=====

No. 3
PBE LaPrMg, optimized geometry; energy relative to the lowest polymorph listed for this composition = 398 meV per atom; crystal system = orthorhombic; formation enthalpy at 0 K = 99 kJ/mol of formula units; VASP energy = -3.4256 eV/atom
1.0
0.000 6.138 7.717
4.662 0.000 7.717
4.662 6.138 0.000
La Pr Mg
4 4 4
direct
0.000 0.000 0.000 La
0.000 0.000 0.500 La
0.000 0.500 0.000 La
0.500 0.000 0.000 La
0.248 0.502 0.248 Pr
0.498 0.752 0.498 Pr
0.502 0.248 0.502 Pr
0.752 0.498 0.752 Pr
0.198 0.198 0.552 Mg
0.448 0.448 0.802 Mg
0.552 0.552 0.198 Mg
0.802 0.802 0.448 Mg